BaSb2Br at its PBEsol-relaxed geometry, computed with meta-GGA SCAN.

Its magnetic moment is 0.0000 μB per atom. The uncorrected formation energy is -0.27 eV per atom. The value obtained for the calculated volume is 31.4 A^3/atom.

Lattice parameters (Å, degrees): 5.8938 5.8938 3.6127 90.00 90.00 90.00
Closest atoms and distances in Å follow each position.
Space group P4/mmm (No. 123)
Inequivalent atoms, fractional coordinates:
1 Ba 0.0000 0.0000 0.0000 (multiplicity 1)  8 Sb 3.46, 2 Ba 3.61
2 Sb 0.0000 0.5000 0.5000 (multiplicity 2)  4 Ba 3.46, 4 Br 3.46, 2 Sb 3.61
3 Br 0.5000 0.5000 0.0000 (multiplicity 1)  8 Sb 3.46, 2 Br 3.61